Version one
A plane-wave DFT calculation with GGA-PBE was carried out for an optimized crystal structure of TeP2CCl. Values from VASP.

Geometry as Quantum ESPRESSO input:
```
&SYSTEM
  ibrav = 0, nat = 5, ntyp = 4
/
ATOMIC_SPECIES
P 30.97 P.upf
C 12.01 C.upf
Te 127.60 Te.upf
Cl 35.45 Cl.upf
ATOMIC_POSITIONS crystal
P 0.000 0.500 0.000
P 0.500 0.000 0.000
C 0.500 0.500 0.500
Te 0.000 0.000 0.000
Cl 0.000 0.000 0.500
CELL_PARAMETERS angstrom
5.237 0.000 0.000
0.000 5.237 0.000
0.000 0.000 5.169
```

Calculated values
The crystal system is tetragonal. The density of states at the Fermi level comes out at 1.0647 states/eV per atom. As for the space-group type: P4/mmm.

---

Version two
A plane-wave DFT calculation with GGA-PBE was carried out for an optimized crystal structure of TeP2CCl. Values from VASP.

Geometry as Quantum ESPRESSO input:
```
&SYSTEM
  ibrav = 0, nat = 5, ntyp = 4
/
ATOMIC_SPECIES
P 30.97 P.upf
C 12.01 C.upf
Te 127.60 Te.upf
Cl 35.45 Cl.upf
ATOMIC_POSITIONS crystal
P 0.000 0.500 0.000
P 0.500 0.000 0.000
C 0.000 0.000 0.000
Te 0.500 0.500 0.500
Cl 0.000 0.000 0.500
CELL_PARAMETERS angstrom
4.301 0.000 0.000
0.000 4.301 0.000
0.000 0.000 4.353
```

Calculated values
The crystal system is tetragonal. The density of states at the Fermi level comes out at 0.4939 states/eV per atom. As for the space-group type: P4/mmm.

---

Least stable of them? version one.

---

Version one
A plane-wave DFT calculation with GGA-PBE was carried out for an optimized crystal structure of TiP2CCl. Values from VASP.

Geometry as Quantum ESPRESSO input:
```
&SYSTEM
  ibrav = 0, nat = 5, ntyp = 4
/
ATOMIC_SPECIES
P 30.97 P.upf
C 12.01 C.upf
Cl 35.45 Cl.upf
Ti 47.87 Ti.upf
ATOMIC_POSITIONS crystal
P 0.000 0.500 0.000
P 0.500 0.000 0.000
C 0.500 0.500 0.500
Cl 0.000 0.000 0.500
Ti 0.000 0.000 0.000
CELL_PARAMETERS angstrom
4.774 0.000 0.000
0.000 4.774 0.000
0.000 0.000 4.639
```

Calculated values
The crystal system is tetragonal. The density of states at the Fermi level comes out at 0.7091 states/eV per atom. As for the space-group type: P4/mmm.

---

Version two
A plane-wave DFT calculation with GGA-PBE was carried out for an optimized crystal structure of TiP2CCl. Values from VASP.

Geometry as Quantum ESPRESSO input:
```
&SYSTEM
  ibrav = 0, nat = 5, ntyp = 4
/
ATOMIC_SPECIES
P 30.97 P.upf
C 12.01 C.upf
Cl 35.45 Cl.upf
Ti 47.87 Ti.upf
ATOMIC_POSITIONS crystal
P 0.000 0.500 0.000
P 0.500 0.000 0.000
C 0.000 0.000 0.000
Cl 0.000 0.000 0.500
Ti 0.500 0.500 0.500
CELL_PARAMETERS angstrom
-0.894 2.853 2.526
-3.615 -1.455 0.363
1.434 -2.679 3.533
```

Calculated values
The crystal system is tetragonal. The density of states at the Fermi level comes out at 0.8945 states/eV per atom. As for the space-group type: P4/mmm.

---

Least stable of them? version one.

---

Version one
A plane-wave DFT calculation with GGA-PBE was carried out for an optimized crystal structure of TlPCCl2. Values from VASP.

Geometry as Quantum ESPRESSO input:
```
&SYSTEM
  ibrav = 0, nat = 5, ntyp = 4
/
ATOMIC_SPECIES
P 30.97 P.upf
Tl 204.38 Tl.upf
C 12.01 C.upf
Cl 35.45 Cl.upf
ATOMIC_POSITIONS crystal
P 0.000 0.000 0.500
Tl 0.000 0.000 0.000
C 0.500 0.500 0.500
Cl 0.000 0.500 0.000
Cl 0.500 0.000 0.000
CELL_PARAMETERS angstrom
5.441 0.000 0.000
0.000 5.441 0.000
0.000 0.000 5.374
```

Calculated values
The crystal system is tetragonal. The density of states at the Fermi level comes out at 1.5591 states/eV per atom. As for the space-group type: P4/mmm.

---

Version two
A plane-wave DFT calculation with GGA-PBE was carried out for an optimized crystal structure of TlPCCl2. Values from VASP.

Geometry as Quantum ESPRESSO input:
```
&SYSTEM
  ibrav = 0, nat = 5, ntyp = 4
/
ATOMIC_SPECIES
P 30.97 P.upf
Tl 204.38 Tl.upf
C 12.01 C.upf
Cl 35.45 Cl.upf
ATOMIC_POSITIONS crystal
P 0.000 0.000 0.500
Tl 0.500 0.500 0.500
C 0.000 0.000 0.000
Cl 0.000 0.500 0.000
Cl 0.500 0.000 0.000
CELL_PARAMETERS angstrom
-5.678 -0.696 0.087
0.677 -5.626 -0.793
0.111 -0.474 3.460
```

Calculated values
The crystal system is tetragonal. The density of states at the Fermi level comes out at 0.6755 states/eV per atom. As for the space-group type: P4/mmm.

---

Least stable of them? version one.

---

Version one
A plane-wave DFT calculation with GGA-PBE was carried out for an optimized crystal structure of VP2CCl. Values from VASP.

Geometry as Quantum ESPRESSO input:
```
&SYSTEM
  ibrav = 0, nat = 5, ntyp = 4
/
ATOMIC_SPECIES
P 30.97 P.upf
C 12.01 C.upf
Cl 35.45 Cl.upf
V 50.94 V.upf
ATOMIC_POSITIONS crystal
P 0.000 0.500 0.000
P 0.500 0.000 0.000
C 0.000 0.000 0.000
Cl 0.000 0.000 0.500
V 0.500 0.500 0.500
CELL_PARAMETERS angstrom
-3.330 -2.044 -0.650
1.015 -2.560 2.847
-2.062 2.430 2.920
```

Calculated values
The crystal system is tetragonal. The density of states at the Fermi level comes out at 0.8536 states/eV per atom. As for the space-group type: P4/mmm.

---

Version two
A plane-wave DFT calculation with GGA-PBE was carried out for an optimized crystal structure of VP2CCl. Values from VASP.

Geometry as Quantum ESPRESSO input:
```
&SYSTEM
  ibrav = 0, nat = 5, ntyp = 4
/
ATOMIC_SPECIES
P 30.97 P.upf
C 12.01 C.upf
Cl 35.45 Cl.upf
V 50.94 V.upf
ATOMIC_POSITIONS crystal
P 0.000 0.500 0.000
P 0.500 0.000 0.000
C 0.500 0.500 0.500
Cl 0.000 0.000 0.500
V 0.000 0.000 0.000
CELL_PARAMETERS angstrom
-0.341 4.557 0.281
-3.970 -0.435 2.240
2.242 -0.076 3.958
```

Calculated values
The crystal system is tetragonal. The density of states at the Fermi level comes out at 0.9671 states/eV per atom. As for the space-group type: P4/mmm.

---

Least stable of them? version two.

---

Version one
A plane-wave DFT calculation with GGA-PBE was carried out for an optimized crystal structure of P2WCCl. Values from VASP.

Geometry as Quantum ESPRESSO input:
```
&SYSTEM
  ibrav = 0, nat = 5, ntyp = 4
/
ATOMIC_SPECIES
P 30.97 P.upf
C 12.01 C.upf
W 183.84 W.upf
Cl 35.45 Cl.upf
ATOMIC_POSITIONS crystal
P 0.000 0.500 0.000
P 0.500 0.000 0.000
C 0.500 0.500 0.500
W 0.000 0.000 0.000
Cl 0.000 0.000 0.500
CELL_PARAMETERS angstrom
4.699 0.000 0.000
0.000 4.699 0.000
0.000 0.000 4.787
```

Calculated values
The crystal system is tetragonal. The density of states at the Fermi level comes out at 1.2276 states/eV per atom. As for the space-group type: P4/mmm.

---

Version two
A plane-wave DFT calculation with GGA-PBE was carried out for an optimized crystal structure of P2WCCl. Values from VASP.

Geometry as Quantum ESPRESSO input:
```
&SYSTEM
  ibrav = 0, nat = 5, ntyp = 4
/
ATOMIC_SPECIES
P 30.97 P.upf
C 12.01 C.upf
W 183.84 W.upf
Cl 35.45 Cl.upf
ATOMIC_POSITIONS crystal
P 0.000 0.500 0.000
P 0.500 0.000 0.000
C 0.000 0.000 0.000
W 0.500 0.500 0.500
Cl 0.000 0.000 0.500
CELL_PARAMETERS angstrom
-0.953 2.956 -2.457
-3.788 -0.294 1.117
0.688 2.764 3.060
```

Calculated values
The crystal system is tetragonal. The density of states at the Fermi level comes out at 0.6820 states/eV per atom. As for the space-group type: P4/mmm.

---

Least stable of them? version one.

---

Version one
A plane-wave DFT calculation with GGA-PBE was carried out for an optimized crystal structure of PWCCl2. Values from VASP.

Geometry as Quantum ESPRESSO input:
```
&SYSTEM
  ibrav = 0, nat = 5, ntyp = 4
/
ATOMIC_SPECIES
P 30.97 P.upf
C 12.01 C.upf
W 183.84 W.upf
Cl 35.45 Cl.upf
ATOMIC_POSITIONS crystal
P 0.000 0.000 0.500
C 0.000 0.000 0.000
W 0.500 0.500 0.500
Cl 0.000 0.500 0.000
Cl 0.500 0.000 0.000
CELL_PARAMETERS angstrom
-4.068 -0.814 0.560
0.293 -3.260 -2.609
0.940 -2.487 3.213
```

Calculated values
The crystal system is tetragonal. The density of states at the Fermi level comes out at 0.5891 states/eV per atom. As for the space-group type: P4/mmm.

---

Version two
A plane-wave DFT calculation with GGA-PBE was carried out for an optimized crystal structure of PWCCl2. Values from VASP.

Geometry as Quantum ESPRESSO input:
```
&SYSTEM
  ibrav = 0, nat = 5, ntyp = 4
/
ATOMIC_SPECIES
P 30.97 P.upf
C 12.01 C.upf
W 183.84 W.upf
Cl 35.45 Cl.upf
ATOMIC_POSITIONS crystal
P 0.000 0.000 0.500
C 0.500 0.500 0.500
W 0.000 0.000 0.000
Cl 0.000 0.500 0.000
Cl 0.500 0.000 0.000
CELL_PARAMETERS angstrom
-3.482 3.075 -0.968
-2.963 -3.615 -0.821
-1.274 0.002 4.586
```

Calculated values
The crystal system is tetragonal. The density of states at the Fermi level comes out at 1.1240 states/eV per atom. As for the space-group type: P4/mmm.

---

Least stable of them? version one.

---

Version one
A plane-wave DFT calculation with GGA-PBE was carried out for an optimized crystal structure of YPCCl2. Values from VASP.

Geometry as Quantum ESPRESSO input:
```
&SYSTEM
  ibrav = 0, nat = 5, ntyp = 4
/
ATOMIC_SPECIES
Y 88.91 Y.upf
P 30.97 P.upf
C 12.01 C.upf
Cl 35.45 Cl.upf
ATOMIC_POSITIONS crystal
Y 0.000 0.500 0.000
P 0.000 0.000 0.000
C 0.500 0.500 0.500
Cl 0.000 0.000 0.500
Cl 0.500 0.000 0.000
CELL_PARAMETERS angstrom
4.516 0.000 0.000
0.000 5.760 0.000
0.000 0.000 4.516
```

Calculated values
The crystal system is tetragonal. The density of states at the Fermi level comes out at 0.4687 states/eV per atom. As for the space-group type: P4/mmm.

---

Version two
A plane-wave DFT calculation with GGA-PBE was carried out for an optimized crystal structure of YPCCl2. Values from VASP.

Geometry as Quantum ESPRESSO input:
```
&SYSTEM
  ibrav = 0, nat = 5, ntyp = 4
/
ATOMIC_SPECIES
Y 88.91 Y.upf
P 30.97 P.upf
C 12.01 C.upf
Cl 35.45 Cl.upf
ATOMIC_POSITIONS crystal
Y 0.500 0.500 0.500
P 0.000 0.000 0.500
C 0.000 0.000 0.000
Cl 0.000 0.500 0.000
Cl 0.500 0.000 0.000
CELL_PARAMETERS angstrom
4.409 0.000 0.000
0.000 4.409 0.000
0.000 0.000 4.448
```

Calculated values
The crystal system is tetragonal. The density of states at the Fermi level comes out at 0.3396 states/eV per atom. As for the space-group type: P4/mmm.

---

Least stable of them? version one.